Arrangement A

Below is crystalline Pd2F at its relaxed geometry, with properties calculated at the PBE-GGA level.

Output
Crystal system: cubic

a = 5.625 Å, b = 5.625 Å, c = 5.625 Å
α = 90.00°, β = 90.00°, γ = 90.00°
Space group Fm-3m (No. 225)
Unique sites:
Pd1 0.250 0.250 0.250
F1 0.000 0.000 0.000

Arrangement B

Below is crystalline Pd2F at its relaxed geometry, with properties calculated at the PBE-GGA level.

Output
Crystal system: cubic

a = 7.249 Å, b = 7.249 Å, c = 7.249 Å
α = 90.00°, β = 90.00°, γ = 90.00°
Space group Fd-3m (No. 227, origin choice 2)
Unique sites:
Pd1 0.000 0.000 0.000
F1 0.125 0.125 0.625

Which one sits at the bottom of the stability order? arrangement B does.

Arrangement A

Below is crystalline PtF at its relaxed geometry, with properties calculated at the PBE-GGA level.

Output
Size of the total moment: 0.12 μB per cell
Crystal system: hexagonal

a = 2.6874 Å, b = 2.6874 Å, c = 4.0349 Å
α = 90.00°, β = 90.00°, γ = 120.00°
Space group P-6m2 (No. 187)
Unique sites:
Pt1 0.0000 0.0000 0.0000
F1 0.3333 0.6667 0.5000

Arrangement B

Below is crystalline PtF at its relaxed geometry, with properties calculated at the PBE-GGA level.

Output
Size of the total moment: 0.02 μB per cell
Crystal system: cubic

a = 4.795 Å, b = 4.795 Å, c = 4.795 Å
α = 90.00°, β = 90.00°, γ = 90.00°
Space group Fm-3m (No. 225)
Unique sites:
Pt1 0.000 0.000 0.000
F1 0.000 0.000 0.500

Arrangement C

Below is crystalline PtF at its relaxed geometry, with properties calculated at the PBE-GGA level.

Output
Size of the total moment: 5.04 μB per cell
Crystal system: cubic

a = 5.150 Å, b = 5.150 Å, c = 5.150 Å
α = 90.00°, β = 90.00°, γ = 90.00°
Space group F-43m (No. 216)
Unique sites:
Pt1 0.000 0.000 0.000
F1 0.250 0.250 0.250

Which one sits at the bottom of the stability order? arrangement C does.

Arrangement A

Below is crystalline PuF4 at its relaxed geometry, with properties calculated at the PBE-GGA level.

Output
Size of the total moment: 8.00 μB per cell
Crystal system: tetragonal

a = 4.296 Å, b = 4.296 Å, c = 7.353 Å
α = 90.00°, β = 90.00°, γ = 90.00°
Space group I4/mmm (No. 139)
Unique sites:
Pu1 0.000 0.000 0.000
F1 0.000 0.000 0.280
F2 0.000 0.500 0.000

Arrangement B

Below is crystalline PuF4 at its relaxed geometry, with properties calculated at the PBE-GGA level.

Output
Size of the total moment: 32.00 μB per cell
Crystal system: orthorhombic

a = 9.265 Å, b = 9.963 Å, c = 5.319 Å
α = 90.00°, β = 90.00°, γ = 90.00°
Space group Fdd2 (No. 43)
Unique sites:
Pu1 0.000 0.000 0.000
F1 0.076 0.114 0.345
F2 0.118 0.182 0.909

Which one sits at the bottom of the stability order? arrangement B does.

Arrangement A

Below is crystalline RbSmF3 at its relaxed geometry, with properties calculated at the PBE-GGA level.

Output
Size of the total moment: 0.82 μB per cell
Crystal system: orthorhombic

a = 6.405 Å, b = 6.479 Å, c = 4.555 Å
α = 90.00°, β = 90.00°, γ = 90.00°
Space group Cmmm (No. 65)
Unique sites:
Rb1 0.000 0.000 0.000
Sm1 0.000 0.500 0.500
F1 0.000 0.500 0.000
F2 0.250 0.250 0.500

Arrangement B

Below is crystalline RbSmF3 at its relaxed geometry, with properties calculated at the PBE-GGA level.

Output
Size of the total moment: 1.06 μB per cell
Crystal system: monoclinic

a = 4.508 Å, b = 6.058 Å, c = 7.825 Å
α = 90.00°, β = 106.60°, γ = 90.00°
Space group P2_1/m (No. 11)
Unique sites:
Rb1 0.156 0.250 0.308
Sm1 0.399 0.250 0.814
F1 0.087 0.750 0.159
F2 0.310 0.507 0.621

Which one sits at the bottom of the stability order? arrangement A does.

Arrangement A

Below is crystalline ReF2 at its relaxed geometry, with properties calculated at the PBE-GGA level.

Output
Size of the total moment: 2.36 μB per cell
Crystal system: cubic

a = 6.212 Å, b = 6.212 Å, c = 6.212 Å
α = 90.00°, β = 90.00°, γ = 90.00°
Space group Fd-3m (No. 227, origin choice 2)
Unique sites:
Re1 0.125 0.125 0.125
F1 0.000 0.000 0.500

Arrangement B

Below is crystalline ReF2 at its relaxed geometry, with properties calculated at the PBE-GGA level.

Output
Size of the total moment: 19.94 μB per cell
Crystal system: cubic

a = 5.552 Å, b = 5.552 Å, c = 5.552 Å
α = 90.00°, β = 90.00°, γ = 90.00°
Space group Fm-3m (No. 225)
Unique sites:
Re1 0.000 0.000 0.000
F1 0.250 0.250 0.250

Which one sits at the bottom of the stability order? arrangement A does.

Arrangement A

Below is crystalline ZnSF at its relaxed geometry, with properties calculated at the PBE-GGA level.

Output
Crystal system: trigonal

a = 3.0626 Å, b = 3.0626 Å, c = 15.6758 Å
α = 90.00°, β = 90.00°, γ = 120.00°
Space group P3m1 (No. 156)
Unique sites:
Zn1 0.0000 0.0000 0.0000
Zn2 0.0000 0.0000 0.3310
Zn3 0.0000 0.0000 0.6618
S1 0.3333 0.6667 0.2263
S2 0.3333 0.6667 0.7697
S3 0.6667 0.3333 0.4356
F1 0.3333 0.6667 0.5889
F2 0.6667 0.3333 0.0734
F3 0.6667 0.3333 0.9262

Arrangement B

Below is crystalline ZnSF at its relaxed geometry, with properties calculated at the PBE-GGA level.

Output
Crystal system: monoclinic

a = 4.646 Å, b = 3.476 Å, c = 5.502 Å
α = 90.00°, β = 99.87°, γ = 90.00°
Space group P2/m (No. 10)
Unique sites:
Zn1 0.000 0.000 0.000
Zn2 0.500 0.500 0.500
S1 0.190 0.000 0.630
F1 0.263 0.500 0.141

Which one sits at the bottom of the stability order? arrangement A does.

Arrangement A

Below is crystalline TaTlF6 at its relaxed geometry, with properties calculated at the PBE-GGA level.

Output
Size of the total moment: 0.00 μB per cell
Crystal system: trigonal

a = 5.2203 Å, b = 5.2203 Å, c = 14.0841 Å
α = 90.00°, β = 90.00°, γ = 120.00°
Space group R-3 (No. 148, hexagonal axes)
Unique sites:
Ta1 0.0000 0.0000 0.0000
Tl1 0.0000 0.0000 0.5000
F1 0.0108 0.5447 0.4101

Arrangement B

Below is crystalline TaTlF6 at its relaxed geometry, with properties calculated at the PBE-GGA level.

Output
Size of the total moment: 0.00 μB per cell
Crystal system: triclinic

a = 5.160 Å, b = 5.162 Å, c = 5.746 Å
α = 90.15°, β = 116.43°, γ = 119.95°
Space group P-1 (No. 2)
Unique sites:
Ta1 0.000 0.000 0.000
Tl1 0.000 0.500 0.500
F1 0.188 0.142 0.771
F2 0.273 0.418 0.224
F3 0.372 0.955 0.225

Arrangement C

Below is crystalline TaTlF6 at its relaxed geometry, with properties calculated at the PBE-GGA level.

Output
Size of the total moment: 10.42 μB per cell
Crystal system: monoclinic

a = 9.749 Å, b = 4.821 Å, c = 9.788 Å
α = 90.00°, β = 100.81°, γ = 90.00°
Space group C2/c (No. 15)
Unique sites:
Ta1 0.250 0.250 0.000
Tl1 0.000 0.135 0.250
F1 0.079 0.396 0.897
F2 0.148 0.071 0.540
F3 0.216 0.426 0.167

Which one sits at the bottom of the stability order? arrangement A does.

Arrangement A

Below is crystalline TbF at its relaxed geometry, with properties calculated at the PBE-GGA level.

Output
Size of the total moment: 0.01 μB per cell
Crystal system: hexagonal

a = 3.2365 Å, b = 3.2365 Å, c = 3.7396 Å
α = 90.00°, β = 90.00°, γ = 120.00°
Space group P-6m2 (No. 187)
Unique sites:
Tb1 0.0000 0.0000 0.0000
F1 0.3333 0.6667 0.5000

Arrangement B

Below is crystalline TbF at its relaxed geometry, with properties calculated at the PBE-GGA level.

Output
Size of the total moment: 0.02 μB per cell
Crystal system: cubic

a = 5.465 Å, b = 5.465 Å, c = 5.465 Å
α = 90.00°, β = 90.00°, γ = 90.00°
Space group F-43m (No. 216)
Unique sites:
Tb1 0.000 0.000 0.000
F1 0.250 0.250 0.250

Which one sits at the bottom of the stability order? arrangement A does.